Material: CsNp6Se8
Method: DFT, GGA-PBE
State: relaxed

```
CsNp6Se8
1.0
-1.190 -2.935 1.585
6.094 -5.983 -6.506
3.941 3.460 9.367
Cs Np Se
1 6 8
Direct
0.500 0.000 0.000
0.750 0.509 0.583
0.750 0.417 0.926
0.750 0.074 0.491
0.250 0.491 0.417
0.250 0.583 0.074
0.250 0.926 0.509
0.763 0.659 0.898
0.763 0.102 0.761
0.763 0.239 0.341
0.237 0.341 0.102
0.237 0.898 0.239
0.237 0.761 0.659
0.747 0.667 0.333
0.253 0.333 0.667
```

Computed properties:
E   -7.867 eV per atom
Crystal system   trigonal
Size of the total moment   0.8 μB per formula unit
DOS at the Fermi energy   1.280 states/eV/atom
Space group   No. 147